Record 1
Crystalline CsTaAl2 at its relaxed geometry, computed with GGA-PBE.

Values from the calculation:
* E_form: 1251 meV per atom
* total moment: 0.0000 μB per atom

Unit cell a=7.197 b=7.197 c=7.197 alpha=90.00 beta=90.00 gamma=90.00
Space group Fm-3m (No. 225)
Symmetry-distinct sites (fractional):
Cs 0.000 0.000 0.000 x4
Ta 0.000 0.000 0.500 x4
Al 0.250 0.250 0.250 x8

=====

Record 2
Crystalline CsZrTaAl2 at its relaxed geometry, computed with GGA-PBE.

Values from the calculation:
* E_form: 2597 meV per atom
* total moment: 0.0056 μB per atom

Unit cell a=5.168 b=5.168 c=5.187 alpha=90.00 beta=90.00 gamma=90.00
Space group P4/mmm (No. 123)
Symmetry-distinct sites (fractional):
Cs 0.000 0.000 0.000 x1
Zr 0.000 0.000 0.500 x1
Ta 0.500 0.500 0.500 x1
Al 0.000 0.500 0.000 x2

=====

Record 3
Crystalline CsTbAlTe4 at its relaxed geometry, computed with GGA-PBE.

Values from the calculation:
* raw formation energy: -934 meV per atom
* total moment: 0.0000 μB per atom

Unit cell a=7.678 b=6.619 c=10.795 alpha=90.00 beta=106.11 gamma=90.00
Space group P2_1/m (No. 11)
Symmetry-distinct sites (fractional):
Cs 0.237 0.250 0.050 x2
Tb 0.253 0.250 0.550 x2
Al 0.263 0.750 0.339 x2
Te 0.013 0.509 0.698 x4
Te 0.430 0.750 0.583 x2
Te 0.457 0.750 0.181 x2

=====

Record 4
Crystalline Cs2TbAlTe4 at its relaxed geometry, computed with GGA-PBE.

Values from the calculation:
* raw formation energy: -1032 meV per atom
* total moment: 0.0000 μB per atom

Unit cell a=6.813 b=15.953 c=28.237 alpha=90.00 beta=90.00 gamma=90.00
Space group Fddd (No. 70, origin choice 2)
Symmetry-distinct sites (fractional):
Cs 0.125 0.125 0.306 x16
Tb 0.125 0.125 0.125 x8
Al 0.125 0.125 0.625 x8
Te 0.095 0.275 0.821 x32

=====

Record 5
Crystalline CsAl3Tc at its relaxed geometry, computed with GGA-PBE.

Values from the calculation:
* E_form: 2503 meV per atom
* offset from the most stable computed form: 2425 meV/atom
* total moment: 0.6839 μB per atom

Unit cell a=5.682 b=5.682 c=5.682 alpha=90.00 beta=90.00 gamma=90.00
Space group Pm-3m (No. 221)
Symmetry-distinct sites (fractional):
Cs 0.000 0.000 0.000 x1
Al 0.000 0.000 0.500 x3
Tc 0.500 0.500 0.500 x1

=====

Record 6
Crystalline CsAl3Tc at its relaxed geometry, computed with GGA-PBE.

Values from the calculation:
* E_form: 78 meV per atom
* offset from the most stable computed form: 0 meV/atom
* total moment: 0.0000 μB per atom

Unit cell a=5.002 b=5.002 c=5.002 alpha=90.00 beta=90.00 gamma=90.00
Space group Pm-3m (No. 221)
Symmetry-distinct sites (fractional):
Cs 0.000 0.000 0.000 x1
Al 0.000 0.500 0.500 x3
Tc 0.500 0.500 0.500 x1

=====

Record 7
Crystalline CsAlTc3 at its relaxed geometry, computed with GGA-PBE.

Values from the calculation:
* E_form: 3068 meV per atom
* offset from the most stable computed form: 1259 meV/atom
* total moment: 1.0246 μB per atom

Unit cell a=4.929 b=4.929 c=4.929 alpha=90.00 beta=90.00 gamma=90.00
Space group Pm-3m (No. 221)
Symmetry-distinct sites (fractional):
Cs 0.000 0.000 0.000 x1
Al 0.500 0.500 0.500 x1
Tc 0.000 0.000 0.500 x3

=====

Record 8
Crystalline CsAlTc3 at its relaxed geometry, computed with GGA-PBE.

Values from the calculation:
* E_form: 1809 meV per atom
* offset from the most stable computed form: 0 meV/atom
* total moment: 1.0941 μB per atom

Unit cell a=4.821 b=4.821 c=4.821 alpha=90.00 beta=90.00 gamma=90.00
Space group Pm-3m (No. 221)
Symmetry-distinct sites (fractional):
Cs 0.000 0.000 0.000 x1
Al 0.500 0.500 0.500 x1
Tc 0.000 0.500 0.500 x3